(1)
An optimized crystal structure of NaYC2O6. Source: Alexandria via LeMat-Bulk, functional GGA-PBE.

Output
total magnetization	0.0	μB/f.u.
density of states at the Fermi level	0.00	states/eV per atom
final energy	-7.71	eV/atom
formation energy (no corrections)	-2.11	eV per atom

Cell lengths 7.5607, 10.0983, 6.9807 Å; angles 90.00, 106.95, 90.00 degrees
Space group C2/c (No. 15)
Unique sites:
Na: 0.0000 0.0993 0.2500 [4 per cell]
Y: 0.0000 0.4204 0.7500 [4 per cell]
C: 0.2305 0.3552 0.2425 [8 per cell]
O: 0.0854 0.3892 0.0930 [8 per cell]
O: 0.1991 0.0533 0.6292 [8 per cell]
O: 0.2137 0.2652 0.7431 [8 per cell]

(2)
An optimized crystal structure of Na2YC2O6. Source: Alexandria via LeMat-Bulk, functional GGA-PBE.

Output
total magnetization	0.0	μB/f.u.
density of states at the Fermi level	0.16	states/eV per atom
final energy	-7.06	eV/atom
formation energy (no corrections)	-1.85	eV per atom

Cell lengths 5.1730, 5.1730, 7.6651 Å; angles 90.00, 90.00, 120.00 degrees
Space group P-3 (No. 147)
Unique sites:
Na: 0.3333 0.6667 0.3325 [2 per cell]
Y: 0.0000 0.0000 0.0000 [1 per cell]
C: 0.3333 0.6667 0.8350 [2 per cell]
O: 0.0986 0.4023 0.8318 [6 per cell]

(3)
An optimized crystal structure of Na3YC3O9. Source: Alexandria via LeMat-Bulk, functional GGA-PBE.

Output
total magnetization	0.0	μB/f.u.
density of states at the Fermi level	0.00	states/eV per atom
final energy	-7.16	eV/atom
formation energy (no corrections)	-1.99	eV per atom

Cell lengths 9.9720, 11.0234, 7.1658 Å; angles 90.00, 90.00, 90.00 degrees
Space group Ama2 (No. 40)
Unique sites:
Na: 0.0000 0.0000 0.0000 [4 per cell]
Na: 0.2500 0.0204 0.6806 [4 per cell]
Na: 0.2500 0.2980 0.5684 [4 per cell]
Y: 0.2500 0.2284 0.0702 [4 per cell]
C: 0.0018 0.2934 0.2421 [8 per cell]
C: 0.2500 0.0141 0.2968 [4 per cell]
O: 0.0139 0.1924 0.1531 [8 per cell]
O: 0.1096 0.3592 0.2646 [8 per cell]
O: 0.1133 0.1694 0.8035 [8 per cell]
O: 0.2500 0.0126 0.1119 [4 per cell]
O: 0.2500 0.1199 0.3756 [4 per cell]
O: 0.2500 0.4146 0.8907 [4 per cell]

(4)
An optimized crystal structure of NaYCO4. Source: Alexandria via LeMat-Bulk, functional GGA-PBE.

Output
total magnetization	0.0	μB/f.u.
final energy	-7.01	eV/atom
formation energy (no corrections)	-1.75	eV per atom

Cell lengths 5.4963, 6.7084, 8.2304 Å; angles 90.00, 90.00, 90.00 degrees
Space group Imma (No. 74)
Unique sites:
Na: 0.2500 0.2500 0.2500 [4 per cell]
Y: 0.0000 0.0000 0.0000 [4 per cell]
C: 0.0000 0.2500 0.6322 [4 per cell]
O: 0.0000 0.0769 0.7172 [8 per cell]
O: 0.2205 0.2500 0.5136 [8 per cell]